A relaxed structure of MnCrS2N, computed with PBE.

Computed properties:
Raw formation energy   125 meV per atom
Magnetic moment   5.93 μB/f.u.
Energy above the lowest structure with this stoichiometry   0 meV/atom
Crystal system   tetragonal

Cell lengths 4.720, 4.720, 3.517 Å; angles 90.00, 90.00, 90.00 degrees
Atoms (fractional coordinates):
1 Mn 0.000 0.000 0.000
2 Cr 0.500 0.500 0.500
3 S 0.000 0.500 0.500
4 S 0.500 0.000 0.500
5 N 0.500 0.500 0.000

=====

A relaxed structure of LaNb2SiOs, computed with PBE.

Computed properties:
Raw formation energy   2280 meV per atom
Magnetic moment   0.00 μB/f.u.
Crystal system   tetragonal

Cell lengths 4.956, 4.956, 4.762 Å; angles 90.00, 90.00, 90.00 degrees
Atoms (fractional coordinates):
1 La 0.000 0.000 0.000
2 Nb 0.000 0.500 0.000
3 Nb 0.500 0.000 0.000
4 Si 0.500 0.500 0.500
5 Os 0.000 0.000 0.500

=====

A relaxed structure of ErLu2H, computed with PBE.

Computed properties:
DFT total energy   -0.1628 hartree per atom
Magnetic moment   0.00 μB/f.u.
Crystal system   trigonal

Cell lengths 8.520, 8.520, 8.520 Å; angles 23.81, 23.81, 23.81 degrees
Atoms (fractional coordinates):
1 Er 0.000 0.000 0.000
2 Lu 0.220 0.220 0.220
3 Lu 0.780 0.780 0.780
4 H 0.500 0.500 0.500

=====

A relaxed structure of Na2Ce2Tl7, computed with PBE.

Computed properties:
DFT total energy   -0.1028 hartree per atom
Magnetic moment   2.74 μB/f.u.
Crystal system   orthorhombic

Cell lengths 6.829, 6.829, 8.941 Å; angles 90.00, 90.00, 124.03 degrees
Atoms (fractional coordinates):
1 Na 0.241 0.241 0.000
2 Na 0.759 0.759 0.000
3 Ce 0.275 0.725 0.500
4 Ce 0.725 0.275 0.500
5 Tl 0.000 0.000 0.500
6 Tl 0.000 0.500 0.174
7 Tl 0.000 0.500 0.826
8 Tl 0.500 0.000 0.174
9 Tl 0.500 0.000 0.826
10 Tl 0.500 0.500 0.306
11 Tl 0.500 0.500 0.694

=====

A relaxed structure of TaBeTe, computed with PBE.

Computed properties:
Raw formation energy   865 meV per atom
Magnetic moment   0.00 μB/f.u.
Energy above the lowest structure with this stoichiometry   727 meV/atom
Crystal system   cubic

Cell lengths 4.466, 4.466, 4.466 Å; angles 60.00, 60.00, 60.00 degrees
Atoms (fractional coordinates):
1 Ta 0.000 0.000 0.000
2 Be 0.750 0.750 0.750
3 Te 0.250 0.250 0.250

=====

A relaxed structure of CaGa3PdRh, computed with PBE.

Computed properties:
DFT total energy   -0.1624 hartree per atom
Magnetic moment   0.00 μB/f.u.
Crystal system   orthorhombic

Cell lengths 6.767, 6.767, 5.630 Å; angles 90.00, 90.00, 106.48 degrees
Atoms (fractional coordinates):
1 Ca 0.207 0.793 0.750
2 Ca 0.793 0.207 0.250
3 Ga 0.246 0.246 0.000
4 Ga 0.246 0.246 0.500
5 Ga 0.310 0.690 0.250
6 Ga 0.690 0.310 0.750
7 Ga 0.754 0.754 0.000
8 Ga 0.754 0.754 0.500
9 Pd 0.081 0.919 0.250
10 Pd 0.919 0.081 0.750
11 Rh 0.469 0.531 0.750
12 Rh 0.531 0.469 0.250

=====

A relaxed structure of CaGeRh, computed with PBE.

Computed properties:
DFT total energy   -0.1943 hartree per atom
Magnetic moment   0.00 μB/f.u.
Crystal system   hexagonal

Cell lengths 4.162, 4.162, 4.386 Å; angles 90.00, 90.00, 120.00 degrees
Atoms (fractional coordinates):
1 Ca 0.000 0.000 0.000
2 Ge 0.667 0.333 0.500
3 Rh 0.333 0.667 0.500

=====

A relaxed structure of RbHoPb, computed with PBE.

Computed properties:
DFT total energy   -0.1057 hartree per atom
Magnetic moment   0.00 μB/f.u.
Crystal system   monoclinic

Cell lengths 8.721, 8.721, 8.590 Å; angles 100.14, 100.14, 23.87 degrees
Atoms (fractional coordinates):
1 Rb 0.208 0.208 0.219
2 Rb 0.792 0.792 0.781
3 Ho 0.483 0.483 0.188
4 Ho 0.517 0.517 0.812
5 Pb 0.404 0.404 0.485
6 Pb 0.596 0.596 0.515

=====

A relaxed structure of BaCeAu2, computed with PBE.

Computed properties:
DFT total energy   -0.1529 hartree per atom
Magnetic moment   1.05 μB/f.u.
Crystal system   trigonal

Cell lengths 7.942, 7.942, 7.942 Å; angles 33.03, 33.03, 33.03 degrees
Atoms (fractional coordinates):
1 Ba 0.000 0.000 0.000
2 Ce 0.500 0.500 0.500
3 Au 0.238 0.238 0.238
4 Au 0.762 0.762 0.762

=====

A relaxed structure of AlPtSe2N, computed with PBE.

Computed properties:
Raw formation energy   531 meV per atom
Magnetic moment   0.00 μB/f.u.
Energy above the lowest structure with this stoichiometry   29 meV/atom
Crystal system   tetragonal

Cell lengths 5.038, 5.038, 3.437 Å; angles 90.00, 90.00, 90.00 degrees
Atoms (fractional coordinates):
1 Al 0.000 0.000 0.000
2 Pt 0.500 0.500 0.500
3 Se 0.000 0.500 0.000
4 Se 0.500 0.000 0.000
5 N 0.000 0.000 0.500

=====

A relaxed structure of YBeIn, computed with PBE.

Computed properties:
Magnetic moment   0.00 μB/f.u.
Energy above the lowest structure with this stoichiometry   52 meV/atom
Crystal system   tetragonal

Cell lengths 4.380, 4.380, 6.668 Å; angles 90.00, 90.00, 90.00 degrees
Atoms (fractional coordinates):
1 Y 0.250 0.250 0.204
2 Y 0.750 0.750 0.796
3 Be 0.250 0.750 0.500
4 Be 0.750 0.250 0.500
5 In 0.250 0.250 0.717
6 In 0.750 0.750 0.283

=====

A relaxed structure of HfTcI2, computed with PBE.

Computed properties:
Raw formation energy   660 meV per atom
Magnetic moment   0.00 μB/f.u.
Energy above the lowest structure with this stoichiometry   0 meV/atom
Crystal system   cubic

Cell lengths 4.907, 4.907, 4.907 Å; angles 60.00, 60.00, 60.00 degrees
Atoms (fractional coordinates):
1 Hf 0.000 0.000 0.000
2 Tc 0.500 0.500 0.500
3 I 0.250 0.250 0.250
4 I 0.750 0.750 0.750